No. 1
# LaMg2Cd2

A relaxed structure of LaMg2Cd2 (PBE, Alexandria).

Calculated values
Formation energy   -0.19 eV/atom
Size of the total moment   0.0 μB/f.u.
Calculated total energy   -2.1797 eV per atom

The structure in POSCAR format:
```
LaMg2Cd2
1.0
-2.2888 2.2888 12.5505
2.2888 -2.2888 12.5505
2.2888 2.2888 -12.5505
La Mg Cd
2 4 4
Cartesian
0.0000 0.0000 3.1266
0.0000 0.0000 21.9744
2.2888 0.0000 0.0000
0.0000 0.0000 7.9897
0.0000 2.2888 0.0000
0.0000 0.0000 17.1114
2.2888 0.0000 6.2753
0.0000 0.0000 10.7367
0.0000 0.0000 14.3643
0.0000 2.2888 6.2753
```

***

No. 2
# NiIr2W

A relaxed structure of NiIr2W (PBE, Alexandria).

Calculated values
Formation energy   -0.07 eV/atom
Size of the total moment   0.0 μB/f.u.
Calculated total energy   -9.1821 eV per atom

The structure in POSCAR format:
```
NiIr2W
1.0
4.5034 -1.3678 0.0000
4.5034 1.3678 0.0000
-0.8161 0.0000 4.6066
Ni Ir W
1 2 1
Cartesian
0.0000 0.0000 0.0000
1.6218 0.0000 3.5276
4.1446 0.0000 2.2886
6.5619 0.0000 1.1798
```

***

| no. | excess energy over the best structure of this formula in the dataset (meV/atom) |
| --- | --- |
| 1 | 33 |
| 2 | 178 |